Record 1
First-principles (GGA-PBE) data for BeGeBi3 after structural relaxation, as listed in Alexandria via LeMat-Bulk.

Calculated values
**DOS(E_F)**: 3.3 states/eV/f.u.
**E_form**: 0.563 eV/atom
**M_tot**: 0.00 Bohr magnetons per cell
**Crystal system**: cubic
**Theoretical density**: 8.73 g/cm3
**Energy**: -3.434 eV/atom

Unit cell a=5.128 b=5.128 c=5.128 alpha=90.00 beta=90.00 gamma=90.00
Space group Pm-3m (No. 221)
Unique sites:
Be (0.000, 0.000, 0.000) [1 per cell]
Ge (0.500, 0.500, 0.500) [1 per cell]
Bi (0.000, 0.000, 0.500) [3 per cell]

Record 2
First-principles (GGA-PBE) data for CePmDy6 after structural relaxation, as listed in Alexandria via LeMat-Bulk.

Calculated values
**DOS(E_F)**: 12.1 states/eV/f.u.
**E_form**: 0.042 eV/atom
**M_tot**: 0.81 Bohr magnetons per cell
**Crystal system**: tetragonal
**Theoretical density**: 8.26 g/cm3
**Energy**: -4.745 eV/atom

Unit cell a=5.024 b=5.024 c=10.037 alpha=90.00 beta=90.00 gamma=90.00
Space group P4/mmm (No. 123)
Unique sites:
Ce (0.000, 0.000, 0.000) [1 per cell]
Pm (0.000, 0.000, 0.500) [1 per cell]
Dy (0.000, 0.500, 0.247) [4 per cell]
Dy (0.500, 0.500, 0.000) [1 per cell]
Dy (0.500, 0.500, 0.500) [1 per cell]

Record 3
First-principles (GGA-PBE) data for CdHgSe2 after structural relaxation, as listed in Alexandria via LeMat-Bulk.

Calculated values
**DOS(E_F)**: 0.0 states/eV/f.u.
**M_tot**: 0.00 Bohr magnetons per cell
**Crystal system**: monoclinic
**Theoretical density**: 6.60 g/cm3
**Formation energy (no corrections)**: -0.289 eV/atom
**Energy**: -2.335 eV/atom

Unit cell a=11.282 b=12.676 c=13.288 alpha=90.00 beta=94.30 gamma=90.00
Space group C2/c (No. 15)
Unique sites:
Cd (0.024, 0.084, 0.092) [8 per cell]
Cd (0.176, 0.143, 0.872) [8 per cell]
Hg (0.132, 0.279, 0.611) [8 per cell]
Hg (0.163, 0.446, 0.833) [8 per cell]
Se (0.000, 0.039, 0.750) [4 per cell]
Se (0.000, 0.437, 0.250) [4 per cell]
Se (0.054, 0.270, 0.004) [8 per cell]
Se (0.207, 0.022, 0.496) [8 per cell]
Se (0.214, 0.220, 0.241) [8 per cell]

Record 4
First-principles (GGA-PBE) data for Pm9InPb2 after structural relaxation, as listed in Alexandria via LeMat-Bulk.

Calculated values
**DOS(E_F)**: 17.6 states/eV/f.u.
**E_form**: -0.317 eV/atom
**M_tot**: 0.00 Bohr magnetons per cell
**Crystal system**: tetragonal
**Theoretical density**: 8.31 g/cm3
**Energy**: -4.727 eV/atom

Unit cell a=4.964 b=4.964 c=14.872 alpha=90.00 beta=90.00 gamma=90.00
Space group P4/mmm (No. 123)
Unique sites:
Pm (0.000, 0.000, 0.000) [1 per cell]
Pm (0.000, 0.000, 0.334) [2 per cell]
Pm (0.000, 0.500, 0.166) [4 per cell]
Pm (0.000, 0.500, 0.500) [2 per cell]
In (0.500, 0.500, 0.000) [1 per cell]
Pb (0.500, 0.500, 0.332) [2 per cell]

Record 5
First-principles (GGA-PBE) data for LiPr2Cd2 after structural relaxation, as listed in Alexandria via LeMat-Bulk.

Calculated values
**DOS(E_F)**: 4.9 states/eV/f.u.
**E_form**: -0.195 eV/atom
**M_tot**: 0.00 Bohr magnetons per cell
**Crystal system**: monoclinic
**Theoretical density**: 6.43 g/cm3
**Energy**: -2.856 eV/atom

Unit cell a=12.904 b=6.666 c=6.252 alpha=90.00 beta=99.26 gamma=90.00
Space group C2/c (No. 15)
Unique sites:
Li (0.000, 0.028, 0.250) [4 per cell]
Pr (0.125, 0.359, 0.575) [8 per cell]
Cd (0.158, 0.141, 0.058) [8 per cell]

Record 6
First-principles (GGA-PBE) data for Tb2CdSn after structural relaxation, as listed in Alexandria via LeMat-Bulk.

Calculated values
**DOS(E_F)**: 3.2 states/eV/f.u.
**E_form**: -0.516 eV/atom
**M_tot**: 0.00 Bohr magnetons per cell
**Crystal system**: tetragonal
**Theoretical density**: 8.63 g/cm3
**Energy**: -4.061 eV/atom

Unit cell a=4.999 b=4.999 c=4.228 alpha=90.00 beta=90.00 gamma=90.00
Space group P4/mmm (No. 123)
Unique sites:
Tb (0.000, 0.500, 0.000) [2 per cell]
Cd (0.000, 0.000, 0.500) [1 per cell]
Sn (0.500, 0.500, 0.500) [1 per cell]

Record 7
First-principles (GGA-PBE) data for CsHgPO4 after structural relaxation, as listed in Alexandria via LeMat-Bulk.

Calculated values
**DOS(E_F)**: 0.0 states/eV/f.u.
**M_tot**: 0.00 Bohr magnetons per cell
**Crystal system**: monoclinic
**Theoretical density**: 5.32 g/cm3
**Formation energy (no corrections)**: -1.704 eV/atom
**Energy**: -5.476 eV/atom

Unit cell a=5.563 b=5.933 c=8.175 alpha=90.00 beta=97.31 gamma=90.00
Space group P2_1/m (No. 11)
Unique sites:
Cs (0.247, 0.250, 0.368) [2 per cell]
Hg (0.301, 0.750, 0.021) [2 per cell]
P (0.192, 0.250, 0.824) [2 per cell]
O (0.014, 0.750, 0.318) [2 per cell]
O (0.096, 0.250, 0.997) [2 per cell]
O (0.368, 0.040, 0.820) [4 per cell]

Record 8
First-principles (GGA-PBE) data for HgAs2Ru after structural relaxation, as listed in Alexandria via LeMat-Bulk.

Calculated values
**DOS(E_F)**: 1.8 states/eV/f.u.
**E_form**: 0.423 eV/atom
**M_tot**: 0.00 Bohr magnetons per cell
**Crystal system**: tetragonal
**Theoretical density**: 10.52 g/cm3
**Energy**: -4.296 eV/atom

Unit cell a=4.325 b=4.325 c=7.617 alpha=90.00 beta=90.00 gamma=90.00
Space group I4/mmm (No. 139)
Unique sites:
Hg (0.000, 0.000, 0.000) [2 per cell]
As (0.000, 0.500, 0.250) [4 per cell]
Ru (0.000, 0.000, 0.500) [2 per cell]

Record 9
First-principles (GGA-PBE) data for Tl2IrCl after structural relaxation, as listed in Alexandria via LeMat-Bulk.

Calculated values
**DOS(E_F)**: 1.6 states/eV/f.u.
**M_tot**: 0.00 Bohr magnetons per cell
**Crystal system**: monoclinic
**Theoretical density**: 11.53 g/cm3
**Formation energy (no corrections)**: 0.131 eV/atom
**Energy**: -3.729 eV/atom

Unit cell a=3.308 b=3.396 c=8.157 alpha=90.00 beta=90.18 gamma=90.00
Space group P2/m (No. 10)
Unique sites:
Tl (0.001, 0.000, 0.210) [2 per cell]
Ir (0.500, 0.500, 0.000) [1 per cell]
Cl (0.000, 0.500, 0.500) [1 per cell]

Record 10
First-principles (GGA-PBE) data for Y3Se after structural relaxation, as listed in Alexandria via LeMat-Bulk.

Calculated values
**DOS(E_F)**: 4.6 states/eV/f.u.
**M_tot**: 0.00 Bohr magnetons per cell
**Crystal system**: trigonal
**Theoretical density**: 5.14 g/cm3
**Formation energy (no corrections)**: -0.353 eV/atom
**Energy**: -6.072 eV/atom

Unit cell a=10.3311 b=10.3311 c=3.6259 alpha=90.00 beta=90.00 gamma=120.00
Space group R-3m (No. 166, hexagonal axes)
Unique sites:
Y (0.0000, 0.5000, 0.0000) [9 per cell]
Se (0.0000, 0.0000, 0.0000) [3 per cell]

Record 11
First-principles (GGA-PBE) data for Er4RhI5 after structural relaxation, as listed in Alexandria via LeMat-Bulk.

Calculated values
**DOS(E_F)**: 4.3 states/eV/f.u.
**M_tot**: 0.00 Bohr magnetons per cell
**Crystal system**: monoclinic
**Theoretical density**: 6.77 g/cm3
**Formation energy (no corrections)**: -1.121 eV/atom
**Energy**: -4.456 eV/atom

Unit cell a=19.566 b=4.080 c=8.851 alpha=90.00 beta=102.29 gamma=90.00
Space group C2/m (No. 12)
Unique sites:
Er (0.001, 0.000, 0.200) [4 per cell]
Er (0.141, 0.500, 0.072) [4 per cell]
Rh (0.000, 0.500, 0.000) [2 per cell]
I (0.000, 0.500, 0.500) [2 per cell]
I (0.168, 0.000, 0.343) [4 per cell]
I (0.179, 0.000, 0.832) [4 per cell]

Record 12
First-principles (GGA-PBE) data for CoSiAg after structural relaxation, as listed in Alexandria via LeMat-Bulk.

Calculated values
**DOS(E_F)**: 1.4 states/eV/f.u.
**M_tot**: 0.98 Bohr magnetons per cell
**Crystal system**: tetragonal
**Theoretical density**: 7.87 g/cm3
**Formation energy (no corrections)**: 0.014 eV/atom
**Energy**: -5.113 eV/atom

Unit cell a=2.908 b=2.908 c=9.719 alpha=90.00 beta=90.00 gamma=90.00
Space group I4mm (No. 107)
Unique sites:
Co (0.000, 0.000, 0.000) [2 per cell]
Si (0.000, 0.000, 0.601) [2 per cell]
Ag (0.000, 0.000, 0.297) [2 per cell]

Record 13
First-principles (GGA-PBE) data for La3Sm2TmSb6 after structural relaxation, as listed in Alexandria via LeMat-Bulk.

Calculated values
**DOS(E_F)**: 2.1 states/eV/f.u.
**M_tot**: 0.00 Bohr magnetons per cell
**Crystal system**: monoclinic
**Theoretical density**: 6.82 g/cm3
**Formation energy (no corrections)**: -1.203 eV/atom
**Energy**: -5.655 eV/atom

Unit cell a=7.847 b=13.590 c=7.831 alpha=90.00 beta=109.52 gamma=90.00
Space group C2/m (No. 12)
Unique sites:
La (0.000, 0.000, 0.000) [2 per cell]
La (0.000, 0.332, 0.000) [4 per cell]
Sm (0.000, 0.166, 0.500) [4 per cell]
Tm (0.000, 0.500, 0.500) [2 per cell]
Sb (0.244, 0.336, 0.739) [8 per cell]
Sb (0.248, 0.500, 0.259) [4 per cell]

Record 14
First-principles (GGA-PBE) data for PrHoCoIr after structural relaxation, as listed in Alexandria via LeMat-Bulk.

Calculated values
**DOS(E_F)**: 1.0 states/eV/f.u.
**E_form**: -0.357 eV/atom
**M_tot**: 2.24 Bohr magnetons per cell
**Crystal system**: cubic
**Theoretical density**: 11.13 g/cm3
**Energy**: -6.688 eV/atom

Unit cell a=6.927 b=6.927 c=6.927 alpha=90.00 beta=90.00 gamma=90.00
Space group F-43m (No. 216)
Unique sites:
Pr (0.000, 0.000, 0.000) [4 per cell]
Ho (0.000, 0.000, 0.500) [4 per cell]
Co (0.250, 0.250, 0.750) [4 per cell]
Ir (0.250, 0.250, 0.250) [4 per cell]

Record 15
First-principles (GGA-PBE) data for KSrSe after structural relaxation, as listed in Alexandria via LeMat-Bulk.

Calculated values
**DOS(E_F)**: 0.9 states/eV/f.u.
**M_tot**: 3.49 Bohr magnetons per cell
**Crystal system**: cubic
**Theoretical density**: 3.12 g/cm3
**Formation energy (no corrections)**: -1.008 eV/atom
**Energy**: -3.096 eV/atom

Unit cell a=7.592 b=7.592 c=7.592 alpha=90.00 beta=90.00 gamma=90.00
Space group F-43m (No. 216)
Unique sites:
K (0.000, 0.000, 0.000) [4 per cell]
Sr (0.000, 0.000, 0.500) [4 per cell]
Se (0.250, 0.250, 0.750) [4 per cell]

Record 16
First-principles (GGA-PBE) data for Pr4YTm2Sc after structural relaxation, as listed in Alexandria via LeMat-Bulk.

Calculated values
**DOS(E_F)**: 10.4 states/eV/f.u.
**E_form**: 0.029 eV/atom
**M_tot**: 0.00 Bohr magnetons per cell
**Crystal system**: tetragonal
**Theoretical density**: 6.62 g/cm3
**Energy**: -5.078 eV/atom

Unit cell a=5.141 b=5.141 c=9.832 alpha=90.00 beta=90.00 gamma=90.00
Space group P4/mmm (No. 123)
Unique sites:
Pr (0.000, 0.500, 0.244) [4 per cell]
Y (0.000, 0.000, 0.500) [1 per cell]
Tm (0.000, 0.000, 0.000) [1 per cell]
Tm (0.500, 0.500, 0.500) [1 per cell]
Sc (0.500, 0.500, 0.000) [1 per cell]

Record 17
First-principles (GGA-PBE) data for LiCa2Tl after structural relaxation, as listed in Alexandria via LeMat-Bulk.

Calculated values
**DOS(E_F)**: 2.0 states/eV/f.u.
**E_form**: -0.193 eV/atom
**M_tot**: 0.00 Bohr magnetons per cell
**Crystal system**: tetragonal
**Theoretical density**: 4.02 g/cm3
**Energy**: -2.263 eV/atom

Unit cell a=3.889 b=3.889 c=7.969 alpha=90.00 beta=90.00 gamma=90.00
Space group P4mm (No. 99)
Unique sites:
Li (0.000, 0.000, 0.000) [1 per cell]
Ca (0.000, 0.000, 0.408) [1 per cell]
Ca (0.500, 0.500, 0.753) [1 per cell]
Tl (0.500, 0.500, 0.169) [1 per cell]

Record 18
First-principles (GGA-PBE) data for ZrPb2Se after structural relaxation, as listed in Alexandria via LeMat-Bulk.

Calculated values
**DOS(E_F)**: 2.7 states/eV/f.u.
**M_tot**: 0.00 Bohr magnetons per cell
**Crystal system**: orthorhombic
**Theoretical density**: 9.63 g/cm3
**Formation energy (no corrections)**: -0.085 eV/atom
**Energy**: -4.947 eV/atom

Unit cell a=3.487 b=5.198 c=5.561 alpha=90.00 beta=90.00 gamma=90.00
Space group Pmmm (No. 47)
Unique sites:
Zr (0.000, 0.000, 0.000) [1 per cell]
Pb (0.000, 0.500, 0.500) [1 per cell]
Pb (0.500, 0.000, 0.500) [1 per cell]
Se (0.500, 0.500, 0.000) [1 per cell]

Record 19
First-principles (GGA-PBE) data for Pm3YS3 after structural relaxation, as listed in Alexandria via LeMat-Bulk.

Calculated values
**DOS(E_F)**: 5.0 states/eV/f.u.
**M_tot**: 0.00 Bohr magnetons per cell
**Crystal system**: orthorhombic
**Theoretical density**: 5.79 g/cm3
**Formation energy (no corrections)**: -1.712 eV/atom
**Energy**: -6.441 eV/atom

Unit cell a=11.060 b=11.333 c=5.675 alpha=90.00 beta=90.00 gamma=90.00
Space group Cmcm (No. 63)
Unique sites:
Pm (0.000, 0.119, 0.250) [4 per cell]
Pm (0.244, 0.377, 0.250) [8 per cell]
Y (0.000, 0.372, 0.750) [4 per cell]
S (0.000, 0.129, 0.750) [4 per cell]
S (0.245, 0.373, 0.750) [8 per cell]

Record 20
First-principles (GGA-PBE) data for TbPrEr2 after structural relaxation, as listed in Alexandria via LeMat-Bulk.

Calculated values
**DOS(E_F)**: 5.9 states/eV/f.u.
**E_form**: 0.026 eV/atom
**M_tot**: 0.00 Bohr magnetons per cell
**Crystal system**: tetragonal
**Theoretical density**: 8.16 g/cm3
**Energy**: -4.608 eV/atom

Unit cell a=3.576 b=3.576 c=10.086 alpha=90.00 beta=90.00 gamma=90.00
Space group P4/mmm (No. 123)
Unique sites:
Tb (0.000, 0.000, 0.000) [1 per cell]
Pr (0.000, 0.000, 0.500) [1 per cell]
Er (0.500, 0.500, 0.245) [2 per cell]